Record 1
{
  "formula": "Ba2ZnHg",
  "functional": "PBE",
  "state": "optimized geometry",
  "cell": [[2.466, 1.424, 8.273], [-2.466, 1.424, 8.273], [0.000, -2.848, 8.273]],
  "species": ["Ba", "Ba", "Zn", "Hg"],
  "frac_coords": [[0.248, 0.248, 0.248], [0.752, 0.752, 0.752], [0.500, 0.500, 0.500], [0.000, 0.000, 0.000]],
  "sg": "R-3m (166)",
  "ef_ev_per_atom": -0.1924,
  "magmom_total_mub_per_cell": 0.00
}

Record 2
{
  "formula": "Ba8Zn2Hg",
  "functional": "PBE",
  "state": "optimized geometry",
  "cell": [[10.619, -2.985, 0.000], [10.619, 2.985, 0.000], [-2.378, 0.000, 7.931]],
  "species": ["Ba", "Ba", "Ba", "Ba", "Ba", "Ba", "Ba", "Ba", "Zn", "Zn", "Hg"],
  "frac_coords": [[0.037, 0.037, 0.299], [0.205, 0.205, 0.825], [0.330, 0.330, 0.527], [0.406, 0.406, 0.055], [0.594, 0.594, 0.945], [0.670, 0.670, 0.473], [0.795, 0.795, 0.175], [0.963, 0.963, 0.701], [0.186, 0.186, 0.215], [0.814, 0.814, 0.785], [0.500, 0.500, 0.500]],
  "sg": "C2/m (12)",
  "ef_ev_per_atom": -0.1256,
  "magmom_total_mub_per_cell": 0.00
}

Record 3
{
  "formula": "Ba8ZnHg2",
  "functional": "PBE",
  "state": "optimized geometry",
  "cell": [[10.651, -2.984, 0.000], [10.651, 2.984, 0.000], [-2.399, 0.000, 7.944]],
  "species": ["Ba", "Ba", "Ba", "Ba", "Ba", "Ba", "Ba", "Ba", "Zn", "Hg", "Hg"],
  "frac_coords": [[0.034, 0.034, 0.301], [0.206, 0.206, 0.819], [0.334, 0.334, 0.532], [0.408, 0.408, 0.061], [0.592, 0.592, 0.939], [0.666, 0.666, 0.468], [0.794, 0.794, 0.181], [0.966, 0.966, 0.699], [0.500, 0.500, 0.500], [0.186, 0.186, 0.216], [0.814, 0.814, 0.784]],
  "sg": "C2/m (12)",
  "ef_ev_per_atom": -0.1961,
  "magmom_total_mub_per_cell": 0.00,
  "polymorph_energy_mev_per_atom": 0
}

Record 4
{
  "formula": "Ba2ZnHg",
  "functional": "PBE",
  "state": "optimized geometry",
  "cell": [[5.882, 0.000, 0.000], [0.000, 5.882, 0.000], [0.000, 0.000, 4.179]],
  "species": ["Ba", "Ba", "Zn", "Hg"],
  "frac_coords": [[0.000, 0.500, 0.000], [0.500, 0.000, 0.000], [0.000, 0.000, 0.500], [0.500, 0.500, 0.500]],
  "sg": "P4/mmm (123)",
  "ef_ev_per_atom": -0.3372,
  "magmom_total_mub_per_cell": 0.00
}

Record 5
{
  "formula": "BaZnHg",
  "functional": "PBE",
  "state": "optimized geometry",
  "cell": [[4.941, 0.000, 0.000], [-2.471, 4.279, 0.000], [0.000, 0.000, 4.414]],
  "species": ["Ba", "Zn", "Hg"],
  "frac_coords": [[0.000, 0.000, 0.000], [0.333, 0.667, 0.500], [0.667, 0.333, 0.500]],
  "sg": "P-6m2 (187)",
  "ef_ev_per_atom": -0.3611,
  "magmom_total_mub_per_cell": 0.00,
  "polymorph_energy_mev_per_atom": 0
}

Record 6
{
  "formula": "Ba6Zn5Hg",
  "functional": "PBE",
  "state": "optimized geometry",
  "cell": [[2.926, -8.766, 0.000], [2.926, 8.766, 0.000], [0.000, 0.000, 8.239]],
  "species": ["Ba", "Ba", "Ba", "Ba", "Ba", "Ba", "Zn", "Zn", "Zn", "Zn", "Zn", "Hg"],
  "frac_coords": [[0.000, 0.000, 0.247], [0.000, 0.000, 0.753], [0.332, 0.668, 0.249], [0.332, 0.668, 0.751], [0.668, 0.332, 0.249], [0.668, 0.332, 0.751], [0.166, 0.834, 0.000], [0.168, 0.832, 0.500], [0.500, 0.500, 0.000], [0.832, 0.168, 0.500], [0.834, 0.166, 0.000], [0.500, 0.500, 0.500]],
  "sg": "Cmmm (65)",
  "ef_ev_per_atom": -0.2201,
  "magmom_total_mub_per_cell": 0.00
}

Record 7
{
  "formula": "Ba8ZnHg2",
  "functional": "PBE",
  "state": "optimized geometry",
  "cell": [[5.210, -7.597, 0.000], [5.210, 7.597, 0.000], [-2.401, 0.000, 7.014]],
  "species": ["Ba", "Ba", "Ba", "Ba", "Ba", "Ba", "Ba", "Ba", "Zn", "Hg", "Hg"],
  "frac_coords": [[0.000, 0.000, 0.000], [0.013, 0.282, 0.568], [0.141, 0.557, 0.182], [0.282, 0.013, 0.568], [0.428, 0.692, 0.789], [0.557, 0.141, 0.182], [0.692, 0.428, 0.789], [0.708, 0.708, 0.376], [0.357, 0.357, 0.399], [0.041, 0.673, 0.687], [0.673, 0.041, 0.687]],
  "sg": "Cm (8)",
  "ef_ev_per_atom": -0.1528,
  "magmom_total_mub_per_cell": 0.00,
  "polymorph_energy_mev_per_atom": 43
}

Record 8
{
  "formula": "BaZnHg4",
  "functional": "PBE",
  "state": "optimized geometry",
  "cell": [[0.000, 4.422, 4.422], [4.422, 0.000, 4.422], [4.422, 4.422, 0.000]],
  "species": ["Ba", "Zn", "Hg", "Hg", "Hg", "Hg"],
  "frac_coords": [[0.000, 0.000, 0.000], [0.250, 0.250, 0.250], [0.128, 0.624, 0.624], [0.624, 0.128, 0.624], [0.624, 0.624, 0.128], [0.624, 0.624, 0.624]],
  "sg": "F-43m (216)",
  "ef_ev_per_atom": -0.1585,
  "magmom_total_mub_per_cell": 0.00,
  "polymorph_energy_mev_per_atom": 81
}

Record 9
{
  "formula": "Ba2ZnHg",
  "functional": "PBE",
  "state": "optimized geometry",
  "cell": [[-2.044, 2.881, 5.867], [2.044, -2.881, 5.867], [2.044, 2.881, -5.867]],
  "species": ["Ba", "Ba", "Zn", "Hg"],
  "frac_coords": [[0.000, 0.000, 0.000], [0.693, 0.193, 0.500], [0.257, 0.757, 0.500], [0.425, 0.425, 0.000]],
  "sg": "Imm2 (44)",
  "ef_ev_per_atom": -0.2529,
  "magmom_total_mub_per_cell": 0.00
}

Record 10
{
  "formula": "BaZrHg4",
  "functional": "PBE",
  "state": "optimized geometry",
  "cell": [[0.000, 4.300, 4.300], [4.300, 0.000, 4.300], [4.300, 4.300, 0.000]],
  "species": ["Ba", "Zr", "Hg", "Hg", "Hg", "Hg"],
  "frac_coords": [[0.000, 0.000, 0.000], [0.250, 0.250, 0.250], [0.128, 0.624, 0.624], [0.624, 0.128, 0.624], [0.624, 0.624, 0.128], [0.624, 0.624, 0.624]],
  "sg": "F-43m (216)",
  "ef_ev_per_atom": 0.0515,
  "magmom_total_mub_per_cell": 0.98
}

Record 11
{
  "formula": "BaZr2Hg",
  "functional": "PBE",
  "state": "optimized geometry",
  "cell": [[0.000, 3.814, 3.814], [3.814, 0.000, 3.814], [3.814, 3.814, 0.000]],
  "species": ["Ba", "Zr", "Zr", "Hg"],
  "frac_coords": [[0.000, 0.000, 0.000], [0.500, 0.500, 0.500], [0.750, 0.750, 0.750], [0.250, 0.250, 0.250]],
  "sg": "F-43m (216)",
  "ef_ev_per_atom": 0.4158,
  "magmom_total_mub_per_cell": 1.98
}

Record 12
{
  "formula": "BaZr2Hg",
  "functional": "PBE",
  "state": "optimized geometry",
  "cell": [[5.387, 0.000, 0.000], [0.000, 5.387, 0.000], [0.000, 0.000, 3.455]],
  "species": ["Ba", "Zr", "Zr", "Hg"],
  "frac_coords": [[0.000, 0.000, 0.000], [0.000, 0.500, 0.500], [0.500, 0.000, 0.500], [0.500, 0.500, 0.000]],
  "sg": "P4/mmm (123)",
  "ef_ev_per_atom": 0.4991,
  "magmom_total_mub_per_cell": 0.00
}

Record 13
{
  "formula": "BaZr2Hg",
  "functional": "PBE",
  "state": "optimized geometry",
  "cell": [[-2.318, 2.318, 5.020], [2.318, -2.318, 5.020], [2.318, 2.318, -5.020]],
  "species": ["Ba", "Zr", "Zr", "Hg"],
  "frac_coords": [[0.000, 0.000, 0.000], [0.250, 0.750, 0.500], [0.750, 0.250, 0.500], [0.500, 0.500, 0.000]],
  "sg": "I4/mmm (139)",
  "ef_ev_per_atom": 0.4484,
  "magmom_total_mub_per_cell": 0.00
}

Record 14
{
  "formula": "BaZrHg3",
  "functional": "PBE",
  "state": "optimized geometry",
  "cell": [[6.067, 0.000, 0.000], [0.000, 6.067, 0.000], [0.000, 0.000, 6.067]],
  "species": ["Ba", "Zr", "Hg", "Hg", "Hg"],
  "frac_coords": [[0.000, 0.000, 0.000], [0.500, 0.500, 0.500], [0.000, 0.000, 0.500], [0.000, 0.500, 0.000], [0.500, 0.000, 0.000]],
  "sg": "Pm-3m (221)",
  "ef_ev_per_atom": 0.9926,
  "magmom_total_mub_per_cell": 2.76,
  "polymorph_energy_mev_per_atom": 998
}

Record 15
{
  "formula": "BaZrHg3",
  "functional": "PBE",
  "state": "optimized geometry",
  "cell": [[5.599, 0.000, 0.000], [0.000, 5.599, 0.000], [0.000, 0.000, 5.599]],
  "species": ["Ba", "Zr", "Hg", "Hg", "Hg"],
  "frac_coords": [[0.000, 0.000, 0.000], [0.500, 0.500, 0.500], [0.000, 0.500, 0.500], [0.500, 0.000, 0.500], [0.500, 0.500, 0.000]],
  "sg": "Pm-3m (221)",
  "ef_ev_per_atom": -0.0054,
  "magmom_total_mub_per_cell": 1.67,
  "polymorph_energy_mev_per_atom": 0
}

Record 16
{
  "formula": "BaZr2Hg",
  "functional": "PBE",
  "state": "optimized geometry",
  "cell": [[3.332, 0.000, 0.000], [0.000, 3.332, 0.000], [0.000, 0.000, 9.853]],
  "species": ["Ba", "Zr", "Zr", "Hg"],
  "frac_coords": [[0.000, 0.000, 0.000], [0.500, 0.500, 0.300], [0.500, 0.500, 0.700], [0.000, 0.000, 0.500]],
  "sg": "P4/mmm (123)",
  "ef_ev_per_atom": 0.3290,
  "magmom_total_mub_per_cell": 0.00
}

Record 17
{
  "formula": "BaZr2Hg",
  "functional": "PBE",
  "state": "optimized geometry",
  "cell": [[1.708, 0.986, 10.748], [-1.708, 0.986, 10.748], [0.000, -1.972, 10.748]],
  "species": ["Ba", "Zr", "Zr", "Hg"],
  "frac_coords": [[0.000, 0.000, 0.000], [0.240, 0.240, 0.240], [0.760, 0.760, 0.760], [0.500, 0.500, 0.500]],
  "sg": "R-3m (166)",
  "ef_ev_per_atom": 0.3753,
  "magmom_total_mub_per_cell": 0.00
}

Record 18
{
  "formula": "BaZr2Hg",
  "functional": "PBE",
  "state": "optimized geometry",
  "cell": [[4.713, 0.000, 0.000], [0.000, 4.713, 0.000], [0.000, 0.000, 4.850]],
  "species": ["Ba", "Zr", "Zr", "Hg"],
  "frac_coords": [[0.000, 0.000, 0.000], [0.000, 0.500, 0.500], [0.500, 0.000, 0.500], [0.500, 0.500, 0.000]],
  "sg": "P4/mmm (123)",
  "ef_ev_per_atom": 0.4354,
  "magmom_total_mub_per_cell": 0.00
}

Record 19
{
  "formula": "BaZr3Hg",
  "functional": "PBE",
  "state": "optimized geometry",
  "cell": [[5.473, 0.000, 0.000], [0.000, 5.473, 0.000], [0.000, 0.000, 5.473]],
  "species": ["Ba", "Zr", "Zr", "Zr", "Hg"],
  "frac_coords": [[0.000, 0.000, 0.000], [0.000, 0.500, 0.500], [0.500, 0.000, 0.500], [0.500, 0.500, 0.000], [0.500, 0.500, 0.500]],
  "sg": "Pm-3m (221)",
  "ef_ev_per_atom": 0.8484,
  "magmom_total_mub_per_cell": 1.71,
  "polymorph_energy_mev_per_atom": 0
}

Record 20
{
  "formula": "BaZr2Hg",
  "functional": "PBE",
  "state": "optimized geometry",
  "cell": [[6.518, -1.707, 0.000], [6.518, 1.707, 0.000], [-2.252, 0.000, 5.112]],
  "species": ["Ba", "Zr", "Zr", "Hg"],
  "frac_coords": [[0.000, 0.000, 0.000], [0.218, 0.218, 0.704], [0.782, 0.782, 0.296], [0.500, 0.500, 0.500]],
  "sg": "C2/m (12)",
  "ef_ev_per_atom": 0.2147,
  "magmom_total_mub_per_cell": 0.00
}

Record 21
{
  "formula": "BaZr2Hg",
  "functional": "PBE",
  "state": "optimized geometry",
  "cell": [[3.480, 0.000, 0.000], [0.000, 3.480, 0.000], [0.000, 0.000, 9.444]],
  "species": ["Ba", "Zr", "Zr", "Hg"],
  "frac_coords": [[0.000, 0.000, 0.000], [0.000, 0.000, 0.463], [0.500, 0.500, 0.665], [0.500, 0.500, 0.270]],
  "sg": "P4mm (99)",
  "ef_ev_per_atom": 0.0391,
  "magmom_total_mub_per_cell": 0.00
}

Record 22
{
  "formula": "BaZr2Hg",
  "functional": "PBE",
  "state": "optimized geometry",
  "cell": [[3.383, 0.000, 0.000], [0.000, 5.590, 0.000], [0.000, 0.000, 5.690]],
  "species": ["Ba", "Zr", "Zr", "Hg"],
  "frac_coords": [[0.000, 0.000, 0.000], [0.000, 0.500, 0.500], [0.500, 0.500, 0.000], [0.500, 0.000, 0.500]],
  "sg": "Pmmm (47)",
  "ef_ev_per_atom": 0.3441,
  "magmom_total_mub_per_cell": 0.00
}

Record 23
{
  "formula": "BaZr2Hg",
  "functional": "PBE",
  "state": "optimized geometry",
  "cell": [[3.406, 0.000, 0.000], [0.000, 4.155, 0.000], [0.000, 0.000, 8.217]],
  "species": ["Ba", "Zr", "Zr", "Hg"],
  "frac_coords": [[0.000, 0.000, 0.000], [0.500, 0.500, 0.328], [0.500, 0.500, 0.672], [0.000, 0.000, 0.500]],
  "sg": "Pmmm (47)",
  "ef_ev_per_atom": 0.3133,
  "magmom_total_mub_per_cell": 0.56
}

Record 24
{
  "formula": "BaZr2Hg",
  "functional": "PBE",
  "state": "optimized geometry",
  "cell": [[5.236, -1.674, 0.000], [5.236, 1.674, 0.000], [-1.114, 0.000, 6.848]],
  "species": ["Ba", "Zr", "Zr", "Hg"],
  "frac_coords": [[0.000, 0.000, 0.000], [0.519, 0.519, 0.487], [0.784, 0.784, 0.365], [0.244, 0.244, 0.714]],
  "sg": "Cm (8)",
  "ef_ev_per_atom": 0.2568,
  "magmom_total_mub_per_cell": 0.00
}

Record 25
{
  "formula": "BaZr3Hg",
  "functional": "PBE",
  "state": "optimized geometry",
  "cell": [[5.288, 0.000, 0.000], [0.000, 5.288, 0.000], [0.000, 0.000, 5.288]],
  "species": ["Ba", "Zr", "Zr", "Zr", "Hg"],
  "frac_coords": [[0.000, 0.000, 0.000], [0.000, 0.000, 0.500], [0.000, 0.500, 0.000], [0.500, 0.000, 0.000], [0.500, 0.500, 0.500]],
  "sg": "Pm-3m (221)",
  "ef_ev_per_atom": 1.7012,
  "magmom_total_mub_per_cell": 1.46,
  "polymorph_energy_mev_per_atom": 853
}

Record 26
{
  "formula": "BaZr2Hg2",
  "functional": "PBE",
  "state": "optimized geometry",
  "cell": [[8.930, 0.000, 0.000], [0.000, 8.930, 0.000], [0.000, 0.000, 3.252]],
  "species": ["Ba", "Ba", "Zr", "Zr", "Zr", "Zr", "Hg", "Hg", "Hg", "Hg"],
  "frac_coords": [[0.000, 0.000, 0.000], [0.500, 0.500, 0.000], [0.118, 0.382, 0.000], [0.382, 0.882, 0.000], [0.618, 0.118, 0.000], [0.882, 0.618, 0.000], [0.177, 0.677, 0.500], [0.323, 0.177, 0.500], [0.677, 0.823, 0.500], [0.823, 0.323, 0.500]],
  "sg": "P4/mbm (127)",
  "ef_ev_per_atom": -0.0043,
  "magmom_total_mub_per_cell": 0.00,
  "polymorph_energy_mev_per_atom": 0
}

Record 27
{
  "formula": "BaZr2Hg",
  "functional": "PBE",
  "state": "optimized geometry",
  "cell": [[-2.378, 2.378, 4.716], [2.378, -2.378, 4.716], [2.378, 2.378, -4.716]],
  "species": ["Ba", "Zr", "Zr", "Hg"],
  "frac_coords": [[0.000, 0.000, 0.000], [0.500, 0.500, 0.000], [0.750, 0.250, 0.500], [0.250, 0.750, 0.500]],
  "sg": "I-4m2 (119)",
  "ef_ev_per_atom": 0.4080,
  "magmom_total_mub_per_cell": 0.32
}

Record 28
{
  "formula": "BaZr2Hg",
  "functional": "PBE",
  "state": "optimized geometry",
  "cell": [[-2.253, 2.253, 11.330], [2.253, -2.253, 11.330], [2.253, 2.253, -11.330]],
  "species": ["Ba", "Ba", "Zr", "Zr", "Zr", "Zr", "Hg", "Hg"],
  "frac_coords": [[0.000, 0.000, 0.000], [0.750, 0.250, 0.500], [0.150, 0.625, 0.025], [0.375, 0.400, 0.525], [0.600, 0.125, 0.975], [0.875, 0.850, 0.475], [0.250, 0.750, 0.500], [0.500, 0.500, 0.000]],
  "sg": "I-42d (122)",
  "ef_ev_per_atom": 0.4949,
  "magmom_total_mub_per_cell": 0.00
}

Result set for DFT total energy: -0.114; -0.131; -0.130; -0.124; -0.112; -0.128; -0.127; -0.066; -0.118; -0.139; -0.324; -0.318; -0.322; -0.094; -0.168; -0.331; -0.327; -0.323; -0.347; -0.339; -0.352; -0.330; -0.332; -0.336; -0.285; -0.289; -0.325; -0.319 Ry/atom, one per record in the order listed.